*a*
The following is a PBE calculation of an optimized crystal structure of ZnAg5Au, from the Alexandria database.

It has space group C2/c (No. 15), with a = 10.0440 Å, b = 5.1700 Å, c = 10.0596 Å, α = 90.00°, β = 98.54° and γ = 90.00°. The distinct sites, in fractional coordinates, are Zn at (0.0000, 0.2121, 0.2500), Ag at (0.0000, 0.2945, 0.7500), Ag at (0.1449, 0.4770, 0.0422), Ag at (0.2359, 0.0364, 0.6866) and Au at (0.0000, 0.0000, 0.0000).

*b*
The following is a PBE calculation of an optimized crystal structure of ZnAg5Au, from the Alexandria database.

It has space group P-1 (No. 2), with a = 5.0268 Å, b = 5.1705 Å, c = 10.1519 Å, α = 79.67°, β = 78.23° and γ = 83.65°. The distinct sites, in fractional coordinates, are Zn at (0.0000, 0.0000, 0.0000), Zn at (0.5000, 0.0000, 0.5000), Ag at (0.0622, 0.7505, 0.4768), Ag at (0.1284, 0.9047, 0.7354), Ag at (0.2792, 0.4660, 0.9334), Ag at (0.3986, 0.4125, 0.6463), Ag at (0.4328, 0.0430, 0.1423) and Au at (0.1603, 0.5633, 0.2133).

The least stable of the structures above is *a*, whereas *b* is the most stable.